Entry from the Alexandria database: ThFeCoP2 after structural relaxation (PBE).

a = 6.059 Å, b = 6.059 Å, c = 6.059 Å
α = 143.97°, β = 143.97°, γ = 51.87°
Sites, in units of the cell vectors:
Th1 0.000 0.000 0.000
Fe1 0.750 0.250 0.500
Co1 0.250 0.750 0.500
P1 0.358 0.358 0.000
P2 0.642 0.642 0.000

Output
Density of states at the Fermi level   0.713 states/eV per atom
Total DFT energy (no corrections)   -7.747 eV per atom
Total moment   0.0 μB per cell
Crystal system   tetragonal
Formation enthalpy at 0 K   -986 meV/atom
ρ   8.870 g cm⁻³